1.
# CaCdPb | Alexandria | PBE | optimized geometry
data_CaCdPb
_cell_length_a 4.899
_cell_length_b 5.960
_cell_length_c 6.728
_cell_angle_alpha 105.75
_cell_angle_beta 90.10
_cell_angle_gamma 114.23
_symmetry_space_group_name_H-M 'P 1'
_symmetry_Int_Tables_number 1
_symmetry_space_group_name_Hall 'P 1'
loop_
_atom_site_label
_atom_site_type_symbol
_atom_site_fract_x
_atom_site_fract_y
_atom_site_fract_z
Ca1 Ca 0.000 0.000 0.000
Ca2 Ca 0.315 0.630 0.600
Cd1 Cd 0.322 0.643 0.095
Cd2 Cd 0.661 0.321 0.793
Pb1 Pb 0.669 0.337 0.281
Pb2 Pb 0.996 0.993 0.496
# Size of the total moment   0.000 μB/atom
# Density of states at the Fermi level   3.9 states/eV per cell
# Formation energy   -87 kJ/mol of formula units


2.
# LaAl2Ge2 | Alexandria | PBE | optimized geometry
data_LaAl2Ge2
_cell_length_a 9.575
_cell_length_b 4.154
_cell_length_c 11.123
_cell_angle_alpha 90.00
_cell_angle_beta 90.00
_cell_angle_gamma 90.00
_symmetry_space_group_name_H-M 'P n m a'
_symmetry_Int_Tables_number 62
_symmetry_space_group_name_Hall '-P 2ac 2n'
loop_
_atom_site_label
_atom_site_type_symbol
_atom_site_fract_x
_atom_site_fract_y
_atom_site_fract_z
La1 La 0.230 0.250 0.196
Al1 Al 0.062 0.750 0.395
Al2 Al 0.076 0.750 0.960
Ge1 Ge 0.042 0.250 0.817
Ge2 Ge 0.168 0.250 0.483
# Size of the total moment   0.000 μB/atom
# Density of states at the Fermi level   9.8 states/eV per cell
# Formation energy   -199 kJ/mol of formula units